# 1
# BeNbVCuPF | the Alexandria database | GGA+U | optimized geometry
data_BeNbVCuPF
_space_group_name_H-M_alt 'C 1 m 1'
_space_group_IT_number 8
_cell_length_a 9.257
_cell_length_b 3.576
_cell_length_c 5.790
_cell_angle_alpha 90.00
_cell_angle_beta 110.26
_cell_angle_gamma 90.00
loop_
_space_group_symop_operation_xyz
'x,y,z'
'x,-y,z'
'x+1/2,y+1/2,z'
'x+1/2,-y+1/2,z'
loop_
_atom_site_label
_atom_site_fract_x
_atom_site_fract_y
_atom_site_fract_z
Be1 0.000 0.000 0.000
Nb1 0.041 0.000 0.612
V1 0.186 0.500 0.979
Cu1 0.359 0.000 0.743
P1 0.220 0.500 0.515
F1 0.424 0.500 0.192
# Distance to the lowest polymorph of the same formula: 0 meV per atom
# Calculated total energy: -5.87 eV/atom



# 2
# BeNbVCuPF | the Alexandria database | GGA+U | optimized geometry
data_BeNbVCuPF
_space_group_name_H-M_alt 'P 1'
_space_group_IT_number 1
_cell_length_a 2.709
_cell_length_b 5.105
_cell_length_c 6.295
_cell_angle_alpha 98.92
_cell_angle_beta 96.83
_cell_angle_gamma 93.10
loop_
_space_group_symop_operation_xyz
'x,y,z'
loop_
_atom_site_label
_atom_site_fract_x
_atom_site_fract_y
_atom_site_fract_z
Be1 0.000 0.000 0.000
Nb1 0.515 0.160 0.692
V1 0.456 0.453 0.073
Cu1 0.021 0.678 0.698
P1 0.984 0.343 0.397
F1 0.024 0.791 0.155
# Distance to the lowest polymorph of the same formula: 95 meV per atom
# Calculated total energy: -5.77 eV/atom



# 3
# BeNbVCuPF | the Alexandria database | GGA+U | optimized geometry
data_BeNbVCuPF
_space_group_name_H-M_alt 'C 1 m 1'
_space_group_IT_number 8
_cell_length_a 13.692
_cell_length_b 2.786
_cell_length_c 4.348
_cell_angle_alpha 90.00
_cell_angle_beta 98.19
_cell_angle_gamma 90.00
loop_
_space_group_symop_operation_xyz
'x,y,z'
'x,-y,z'
'x+1/2,y+1/2,z'
'x+1/2,-y+1/2,z'
loop_
_atom_site_label
_atom_site_fract_x
_atom_site_fract_y
_atom_site_fract_z
Be1 0.000 0.000 0.000
Nb1 0.305 0.500 0.941
V1 0.450 0.000 0.495
Cu1 0.130 0.000 0.696
P1 0.270 0.000 0.424
F1 0.052 0.500 0.177
# Distance to the lowest polymorph of the same formula: 75 meV per atom
# Calculated total energy: -5.79 eV/atom



# 4
# BeNbVCuPF | the Alexandria database | GGA+U | optimized geometry
data_BeNbVCuPF
_space_group_name_H-M_alt 'C 1 m 1'
_space_group_IT_number 8
_cell_length_a 11.528
_cell_length_b 2.637
_cell_length_c 5.951
_cell_angle_alpha 90.00
_cell_angle_beta 112.54
_cell_angle_gamma 90.00
loop_
_space_group_symop_operation_xyz
'x,y,z'
'x,-y,z'
'x+1/2,y+1/2,z'
'x+1/2,-y+1/2,z'
loop_
_atom_site_label
_atom_site_fract_x
_atom_site_fract_y
_atom_site_fract_z
Be1 0.000 0.000 0.000
Nb1 0.240 0.000 0.103
V1 0.076 0.500 0.693
Cu1 0.357 0.500 0.552
P1 0.157 0.000 0.430
F1 0.426 0.000 0.055
# Distance to the lowest polymorph of the same formula: 132 meV per atom
# Calculated total energy: -5.74 eV/atom